VASP calculation (GGA-PBE) on a relaxed HfAsPS2 crystal.

Values from the calculation:
symmetry = No. 123
ΔE to the lowest computed polymorph = 0.274 eV per atom

abc: 4.615 4.615 4.650
angles: 90.00 90.00 90.00
Fractional coordinates of all 5 atoms:
P 0.000 0.000 0.500
As 0.000 0.000 0.000
Hf 0.500 0.500 0.500
S 0.000 0.500 0.000
S 0.500 0.000 0.000

=====

VASP calculation (GGA-PBE) on a relaxed HfSb2AsP crystal.

Values from the calculation:
symmetry = No. 123
total energy = -4.87 eV/atom

abc: 5.247 4.635 5.247
angles: 90.00 90.00 90.00
Fractional coordinates of all 5 atoms:
Sb 0.000 0.000 0.500
Sb 0.500 0.000 0.000
As 0.000 0.000 0.000
Hf 0.500 0.500 0.500
P 0.000 0.500 0.000

=====

VASP calculation (GGA-PBE) on a relaxed HfScAsP crystal.

Values from the calculation:
DFT formation energy = -1.236 eV per atom
symmetry = No. 160

abc: 3.734 3.736 6.806
angles: 90.00 105.92 120.01
Fractional coordinates of all 4 atoms:
Hf 0.317 0.556 0.889
Sc 0.956 0.376 0.347
As 0.474 0.135 0.624
P 0.132 0.964 0.111

=====

VASP calculation (GGA-PBE) on a relaxed HfTiAs2P crystal.

Values from the calculation:
DFT formation energy = 0.549 eV per atom
symmetry = No. 123

abc: 4.790 4.718 4.790
angles: 90.00 90.00 90.00
Fractional coordinates of all 5 atoms:
P 0.000 0.000 0.000
As 0.000 0.000 0.500
As 0.500 0.000 0.000
Hf 0.000 0.500 0.000
Ti 0.500 0.500 0.500

=====

VASP calculation (GGA-PBE) on a relaxed TmHfAsP crystal.

Values from the calculation:
DFT formation energy = -1.271 eV per atom
symmetry = No. 160

abc: 3.806 3.807 6.991
angles: 90.00 105.79 120.01
Fractional coordinates of all 4 atoms:
Tm 0.957 0.376 0.348
Hf 0.317 0.556 0.888
As 0.481 0.138 0.635
P 0.124 0.960 0.099

=====

VASP calculation (GGA-PBE) on a relaxed HfV2AsP crystal.

Values from the calculation:
DFT formation energy = 1.428 eV per atom
symmetry = No. 123

abc: 4.773 4.739 4.773
angles: 90.00 90.00 90.00
Fractional coordinates of all 5 atoms:
P 0.000 0.500 0.000
As 0.500 0.500 0.500
Hf 0.000 0.000 0.000
V 0.000 0.000 0.500
V 0.500 0.000 0.000